#i
Compound: AsPW
Source: Alexandria via LeMat-Bulk
Functional: PBEsol
Structure: relaxed

The mass density is 9.4 g cm⁻³. As for the crystal system: cubic. The value obtained for the magnetization is 0.0 μB per formula unit.

The space group is F-43m (No. 216) and the conventional cell measures 5.903, 5.903 and 5.903 Å, with angles of 90.00, 90.00 and 90.00 degrees. The distinct sites, in fractional coordinates, are As at (0.000, 0.000, 0.000), P at (0.250, 0.250, 0.250) and W at (0.250, 0.250, 0.750).


#ii
Compound: AsPW
Source: Alexandria via LeMat-Bulk
Functional: PBEsol
Structure: relaxed

The mass density is 9.7 g cm⁻³. As for the crystal system: cubic. The value obtained for the magnetization is 0.0 μB per formula unit.

The space group is F-43m (No. 216) and the conventional cell measures 5.825, 5.825 and 5.825 Å, with angles of 90.00, 90.00 and 90.00 degrees. The distinct sites, in fractional coordinates, are As at (0.000, 0.000, 0.000), P at (0.250, 0.250, 0.250) and W at (0.000, 0.000, 0.500).


Order from most stable to least stable according to the calculation: #ii, #i


#i
Compound: As2Pb3
Source: Alexandria via LeMat-Bulk
Functional: PBEsol
Structure: relaxed

The mass density is 9.1 g cm⁻³. As for the crystal system: trigonal. The value obtained for the magnetization is 0.0 μB per formula unit.

The space group is P-3m1 (No. 164) and the conventional cell measures 4.9827, 4.9827 and 6.5532 Å, with angles of 90.00, 90.00 and 120.00 degrees. The distinct sites, in fractional coordinates, are As at (0.3333, 0.6667, 0.2837), Pb at (0.0000, 0.0000, 0.5000) and Pb at (0.3333, 0.6667, 0.8294).


#ii
Compound: As2Pb3
Source: Alexandria via LeMat-Bulk
Functional: PBEsol
Structure: relaxed

The mass density is 9.3 g cm⁻³. As for the crystal system: orthorhombic. The value obtained for the magnetization is 0.0 μB per formula unit.

The space group is Fdd2 (No. 43) and the conventional cell measures 12.884, 14.210 and 6.010 Å, with angles of 90.00, 90.00 and 90.00 degrees. The distinct sites, in fractional coordinates, are As at (0.093, 0.304, 0.000), Pb at (0.000, 0.000, 0.434) and Pb at (0.031, 0.366, 0.448).


Order from most stable to least stable according to the calculation: #i, #ii


#i
Compound: Re2AsPb
Source: Alexandria via LeMat-Bulk
Functional: PBEsol
Structure: relaxed

The mass density is 14.8 g cm⁻³. As for the crystal system: tetragonal. The value obtained for the magnetization is 0.0 μB per formula unit.

The space group is P4mm (No. 99) and the conventional cell measures 2.962, 2.962 and 8.385 Å, with angles of 90.00, 90.00 and 90.00 degrees. The distinct sites, in fractional coordinates, are Re at (0.000, 0.000, 0.000), Re at (0.500, 0.500, 0.194), As at (0.000, 0.000, 0.387) and Pb at (0.500, 0.500, 0.735).


#ii
Compound: Re2AsPb
Source: Alexandria via LeMat-Bulk
Functional: PBEsol
Structure: relaxed

The mass density is 16.6 g cm⁻³. As for the crystal system: tetragonal. The value obtained for the magnetization is 0.0 μB per formula unit.

The space group is P4/mmm (No. 123) and the conventional cell measures 4.519, 4.519 and 3.207 Å, with angles of 90.00, 90.00 and 90.00 degrees. The distinct sites, in fractional coordinates, are Re at (0.000, 0.500, 0.000), As at (0.000, 0.000, 0.500) and Pb at (0.500, 0.500, 0.500).


#iii
Compound: Re2AsPb
Source: Alexandria via LeMat-Bulk
Functional: PBEsol
Structure: relaxed

The mass density is 13.0 g cm⁻³. As for the crystal system: monoclinic. The value obtained for the magnetization is 0.0 μB per formula unit.

The space group is Cm (No. 8) and the conventional cell measures 8.380, 3.069 and 6.590 Å, with angles of 90.00, 99.45 and 90.00 degrees. The distinct sites, in fractional coordinates, are Re at (0.000, 0.000, 0.000), Re at (0.234, 0.500, 0.121), As at (0.264, 0.000, 0.805) and Pb at (0.487, 0.000, 0.411).


#iv
Compound: Re2AsPb
Source: Alexandria via LeMat-Bulk
Functional: PBEsol
Structure: relaxed

The mass density is 16.6 g cm⁻³. As for the crystal system: cubic. The value obtained for the magnetization is 0.0 μB per formula unit.

The space group is Fm-3m (No. 225) and the conventional cell measures 6.394, 6.394 and 6.394 Å, with angles of 90.00, 90.00 and 90.00 degrees. The distinct sites, in fractional coordinates, are Re at (0.250, 0.250, 0.250), As at (0.000, 0.000, 0.000) and Pb at (0.000, 0.000, 0.500).


Order from most stable to least stable according to the calculation: #i, #iii, #iv, #ii